Record 1
VASP calculation (PBE-GGA) on KLiCoSe2 after structural relaxation.

The structure in CIF format:
```
data_KLiCoSe2
_space_group_name_H-M_alt 'P 4/m m m'
_space_group_IT_number 123
_space_group_name_Hall '-P 4 2'
_cell_length_a 4.9631
_cell_length_b 4.9631
_cell_length_c 4.4920
_cell_angle_alpha 90.00
_cell_angle_beta 90.00
_cell_angle_gamma 90.00
loop_
_atom_site_label
_atom_site_fract_x
_atom_site_fract_y
_atom_site_fract_z
_atom_site_occupancy
K1 0.0000 0.0000 0.0000 1
Li1 0.5000 0.5000 0.5000 1
Co1 0.5000 0.5000 0.0000 1
Se1 0.0000 0.5000 0.5000 1
```

## Properties
- Uncorrected formation energy: 12 kJ per mole of atoms
- Uncorrected energy: -16.488 eV/cell
- Magnetic moment: 2.59 μB/cell

***

Record 2
VASP calculation (PBE-GGA) on KMgCo2 after structural relaxation.

The structure in CIF format:
```
data_KMgCo2
_space_group_name_H-M_alt 'R -3 m'
_space_group_IT_number 166
_space_group_name_Hall '-R 3 2"'
_cell_length_a 2.8454
_cell_length_b 2.8454
_cell_length_c 29.5472
_cell_angle_alpha 90.00
_cell_angle_beta 90.00
_cell_angle_gamma 120.00
loop_
_atom_site_label
_atom_site_fract_x
_atom_site_fract_y
_atom_site_fract_z
_atom_site_occupancy
K1 0.0000 0.0000 0.0000 1
Mg1 0.0000 0.0000 0.5000 1
Co1 0.0000 0.0000 0.2391 1
```

## Properties
- Uncorrected energy: -40.699 eV/cell
- Magnetic moment: 8.23 μB/cell

***

Record 3
VASP calculation (PBE-GGA) on KMg2Co after structural relaxation.

The structure in CIF format:
```
data_KMg2Co
_space_group_name_H-M_alt 'R -3 m'
_space_group_IT_number 166
_space_group_name_Hall '-R 3 2"'
_cell_length_a 3.2240
_cell_length_b 3.2240
_cell_length_c 31.3341
_cell_angle_alpha 90.00
_cell_angle_beta 90.00
_cell_angle_gamma 120.00
loop_
_atom_site_label
_atom_site_fract_x
_atom_site_fract_y
_atom_site_fract_z
_atom_site_occupancy
K1 0.0000 0.0000 0.0000 1
Mg1 0.0000 0.0000 0.2272 1
Co1 0.0000 0.0000 0.5000 1
```

## Properties
- Uncorrected energy: -28.654 eV/cell
- Magnetic moment: 3.18 μB/cell

***

Record 4
VASP calculation (PBE-GGA) on KMg2Co after structural relaxation.

The structure in CIF format:
```
data_KMg2Co
_space_group_name_H-M_alt 'P 1 m 1'
_space_group_IT_number 6
_cell_length_a 3.0982
_cell_length_b 4.0053
_cell_length_c 8.3183
_cell_angle_alpha 90.00
_cell_angle_beta 90.66
_cell_angle_gamma 90.00
loop_
_space_group_symop_operation_xyz
'x,y,z'
'x,-y,z'
loop_
_atom_site_label
_atom_site_fract_x
_atom_site_fract_y
_atom_site_fract_z
_atom_site_occupancy
K1 0.0000 0.0000 0.0000 1
Mg1 0.4883 0.5000 0.6307 1
Mg2 0.9815 0.0000 0.4040 1
Co1 0.4806 0.5000 0.3190 1
```

## Properties
- Uncorrected energy: -9.688 eV/cell
- Magnetic moment: 1.01 μB/cell

***

Record 5
VASP calculation (PBE-GGA) on KMgCo2 after structural relaxation.

The structure in CIF format:
```
data_KMgCo2
_space_group_name_H-M_alt 'P 4/m m m'
_space_group_IT_number 123
_space_group_name_Hall '-P 4 2'
_cell_length_a 3.4182
_cell_length_b 3.4182
_cell_length_c 7.3362
_cell_angle_alpha 90.00
_cell_angle_beta 90.00
_cell_angle_gamma 90.00
loop_
_atom_site_label
_atom_site_fract_x
_atom_site_fract_y
_atom_site_fract_z
_atom_site_occupancy
K1 0.0000 0.0000 0.0000 1
Mg1 0.0000 0.0000 0.5000 1
Co1 0.5000 0.5000 0.3515 1
```

## Properties
- Uncorrected energy: -14.182 eV/cell
- Magnetic moment: 2.97 μB/cell

***

Record 6
VASP calculation (PBE-GGA) on KMg2Co after structural relaxation.

The structure in CIF format:
```
data_KMg2Co
_space_group_name_H-M_alt 'I m m m'
_space_group_IT_number 71
_space_group_name_Hall '-I 2 2'
_cell_length_a 3.0317
_cell_length_b 5.7593
_cell_length_c 11.4172
_cell_angle_alpha 90.00
_cell_angle_beta 90.00
_cell_angle_gamma 90.00
loop_
_atom_site_label
_atom_site_fract_x
_atom_site_fract_y
_atom_site_fract_z
_atom_site_occupancy
K1 0.0000 0.0000 0.0000 1
Mg1 0.0000 0.5000 0.1898 1
Co1 0.0000 0.0000 0.5000 1
```

## Properties
- Uncorrected energy: -18.854 eV/cell
- Magnetic moment: 2.11 μB/cell

***

Record 7
VASP calculation (PBE-GGA) on KMgCo2 after structural relaxation.

The structure in CIF format:
```
data_KMgCo2
_space_group_name_H-M_alt 'I -4 2 d'
_space_group_IT_number 122
_space_group_name_Hall 'I -4 2bw'
_cell_length_a 4.6604
_cell_length_b 4.6604
_cell_length_c 18.7444
_cell_angle_alpha 90.00
_cell_angle_beta 90.00
_cell_angle_gamma 90.00
loop_
_atom_site_label
_atom_site_fract_x
_atom_site_fract_y
_atom_site_fract_z
_atom_site_occupancy
K1 0.0000 0.0000 0.0000 1
Mg1 0.0000 0.0000 0.5000 1
Co1 0.0065 0.7500 0.6250 1
```

## Properties
- Uncorrected energy: -53.163 eV/cell
- Magnetic moment: 11.73 μB/cell

***

Record 8
VASP calculation (PBE-GGA) on KMgCo2 after structural relaxation.

The structure in CIF format:
```
data_KMgCo2
_space_group_name_H-M_alt 'I m m m'
_space_group_IT_number 71
_space_group_name_Hall '-I 2 2'
_cell_length_a 2.7580
_cell_length_b 5.3148
_cell_length_c 10.1910
_cell_angle_alpha 90.00
_cell_angle_beta 90.00
_cell_angle_gamma 90.00
loop_
_atom_site_label
_atom_site_fract_x
_atom_site_fract_y
_atom_site_fract_z
_atom_site_occupancy
K1 0.0000 0.0000 0.0000 1
Mg1 0.0000 0.0000 0.5000 1
Co1 0.0000 0.5000 0.2218 1
```

## Properties
- Uncorrected energy: -25.846 eV/cell
- Magnetic moment: 5.92 μB/cell

***

Record 9
VASP calculation (PBE-GGA) on KMg14Co after structural relaxation.

The structure in CIF format:
```
data_KMg14Co
_space_group_name_H-M_alt 'P -6 m 2'
_space_group_IT_number 187
_space_group_name_Hall 'P -6 2'
_cell_length_a 6.4245
_cell_length_b 6.4245
_cell_length_c 10.3981
_cell_angle_alpha 90.00
_cell_angle_beta 90.00
_cell_angle_gamma 120.00
loop_
_atom_site_label
_atom_site_fract_x
_atom_site_fract_y
_atom_site_fract_z
_atom_site_occupancy
K1 0.0000 0.0000 0.0000 1
Mg1 0.0108 0.5054 0.0000 1
Mg2 0.1624 0.3248 0.2783 1
Mg3 0.5061 0.0122 0.5000 1
Mg4 0.6667 0.3333 0.2396 1
Co1 0.0000 0.0000 0.5000 1
```

## Properties
- Uncorrected energy: -27.957 eV/cell
- Magnetic moment: 1.02 μB/cell

***

Record 10
VASP calculation (PBE-GGA) on KMgCo2 after structural relaxation.

The structure in CIF format:
```
data_KMgCo2
_space_group_name_H-M_alt 'C 1 m 1'
_space_group_IT_number 8
_cell_length_a 6.7640
_cell_length_b 3.9029
_cell_length_c 7.6512
_cell_angle_alpha 90.00
_cell_angle_beta 106.87
_cell_angle_gamma 90.00
loop_
_space_group_symop_operation_xyz
'x,y,z'
'x,-y,z'
'x+1/2,y+1/2,z'
'x+1/2,-y+1/2,z'
loop_
_atom_site_label
_atom_site_fract_x
_atom_site_fract_y
_atom_site_fract_z
_atom_site_occupancy
K1 0.0000 0.0000 0.0000 1
Mg1 0.1781 0.0000 0.5411 1
Co1 0.2806 0.5000 0.3459 1
Co2 0.4479 0.0000 0.3476 1
```

## Properties
- Uncorrected energy: -30.503 eV/cell
- Magnetic moment: 4.76 μB/cell

***

Record 11
VASP calculation (PBE-GGA) on KMg2Co after structural relaxation.

The structure in CIF format:
```
data_KMg2Co
_space_group_name_H-M_alt 'F m -3 m'
_space_group_IT_number 225
_space_group_name_Hall '-F 4 2 3'
_cell_length_a 7.1557
_cell_length_b 7.1557
_cell_length_c 7.1557
_cell_angle_alpha 90.00
_cell_angle_beta 90.00
_cell_angle_gamma 90.00
loop_
_atom_site_label
_atom_site_fract_x
_atom_site_fract_y
_atom_site_fract_z
_atom_site_occupancy
K1 0.0000 0.0000 0.0000 1
Mg1 0.2500 0.2500 0.2500 1
Co1 0.0000 0.0000 0.5000 1
```

## Properties
- Uncorrected energy: -34.722 eV/cell
- Magnetic moment: 3.77 μB/cell

***

Record 12
VASP calculation (PBE-GGA) on KMg2Co after structural relaxation.

The structure in CIF format:
```
data_KMg2Co
_space_group_name_H-M_alt 'C 1 m 1'
_space_group_IT_number 8
_cell_length_a 9.4125
_cell_length_b 3.0002
_cell_length_c 8.1789
_cell_angle_alpha 90.00
_cell_angle_beta 107.21
_cell_angle_gamma 90.00
loop_
_space_group_symop_operation_xyz
'x,y,z'
'x,-y,z'
'x+1/2,y+1/2,z'
'x+1/2,-y+1/2,z'
loop_
_atom_site_label
_atom_site_fract_x
_atom_site_fract_y
_atom_site_fract_z
_atom_site_occupancy
K1 0.0000 0.0000 0.0000 1
Mg1 0.1309 0.5000 0.6195 1
Mg2 0.3372 0.5000 0.3697 1
Co1 0.3622 0.0000 0.6284 1
```

## Properties
- Uncorrected energy: -19.228 eV/cell
- Magnetic moment: 1.45 μB/cell

***

| no. | DOS(E_F) (states/eV/cell) |
| --- | --- |
| 1 | 7.07 |
| 2 | 13.58 |
| 3 | 8.21 |
| 4 | 5.29 |
| 5 | 4.73 |
| 6 | 9.99 |
| 7 | 28.85 |
| 8 | 11.17 |
| 9 | 8.92 |
| 10 | 5.34 |
| 11 | 29.89 |
| 12 | 6.51 |